one) DFT (PBE) results for an optimized crystal structure of Ti2IBr3.

Unit cell a=21.828 b=3.646 c=9.650 alpha=90.00 beta=104.73 gamma=90.00
Space group C2/m (No. 12)
Asymmetric unit:
Ti: 0.086 0.000 0.147 (multiplicity 4)
Ti: 0.214 0.500 0.387 (multiplicity 4)
I: 0.173 0.500 0.080 (multiplicity 4)
Br: 0.036 0.000 0.869 (multiplicity 4)
Br: 0.090 0.500 0.347 (multiplicity 4)
Br: 0.207 0.500 0.649 (multiplicity 4)

two) DFT (PBE) results for an optimized crystal structure of Ti2IBr3.

Unit cell a=7.550 b=3.554 c=15.298 alpha=90.00 beta=92.98 gamma=90.00
Space group P2_1/m (No. 11)
Asymmetric unit:
Ti: 0.039 0.250 0.427 (multiplicity 2)
Ti: 0.448 0.750 0.933 (multiplicity 2)
I: 0.245 0.250 0.580 (multiplicity 2)
Br: 0.192 0.750 0.833 (multiplicity 2)
Br: 0.220 0.750 0.345 (multiplicity 2)
Br: 0.307 0.750 0.084 (multiplicity 2)

Of them, two) has the lowest stability.

one) DFT (PBE) results for an optimized crystal structure of TiIBr.

Unit cell a=3.9091 b=3.9091 c=7.3342 alpha=90.00 beta=90.00 gamma=120.00
Space group P3m1 (No. 156)
Asymmetric unit:
Ti: 0.0000 0.0000 0.0000 (multiplicity 1)
I: 0.3333 0.6667 0.7600 (multiplicity 1)
Br: 0.6667 0.3333 0.2081 (multiplicity 1)

two) DFT (PBE) results for an optimized crystal structure of TiIBr.

Unit cell a=5.992 b=5.993 c=7.048 alpha=112.12 beta=112.05 gamma=91.26
Space group P1 (No. 1)
Asymmetric unit:
Ti: 0.000 0.000 0.000 (multiplicity 1)
Ti: 0.134 0.133 0.749 (multiplicity 1)
I: 0.137 0.623 0.735 (multiplicity 1)
I: 0.624 0.136 0.735 (multiplicity 1)
Br: 0.349 0.349 0.187 (multiplicity 1)
Br: 0.919 0.917 0.307 (multiplicity 1)

Of them, two) has the lowest stability.

one) DFT (PBE) results for an optimized crystal structure of TlIBr3.

Unit cell a=5.465 b=8.481 c=9.870 alpha=111.57 beta=105.60 gamma=93.32
Space group P-1 (No. 2)
Asymmetric unit:
Tl: 0.184 0.184 0.372 (multiplicity 2)
I: 0.254 0.390 0.853 (multiplicity 2)
Br: 0.147 0.157 0.964 (multiplicity 2)
Br: 0.213 0.814 0.426 (multiplicity 2)
Br: 0.309 0.586 0.697 (multiplicity 2)

two) DFT (PBE) results for an optimized crystal structure of TlIBr3.

Unit cell a=5.908 b=5.908 c=5.908 alpha=90.00 beta=90.00 gamma=90.00
Space group Pm-3m (No. 221)
Asymmetric unit:
Tl: 0.000 0.000 0.000 (multiplicity 1)
I: 0.500 0.500 0.500 (multiplicity 1)
Br: 0.000 0.500 0.500 (multiplicity 3)

three) DFT (PBE) results for an optimized crystal structure of TlIBr3.

Unit cell a=9.622 b=8.273 c=13.342 alpha=90.00 beta=123.57 gamma=90.00
Space group P2_1/c (No. 14)
Asymmetric unit:
Tl: 0.061 0.124 0.177 (multiplicity 4)
I: 0.296 0.508 0.107 (multiplicity 4)
Br: 0.094 0.170 0.960 (multiplicity 4)
Br: 0.245 0.639 0.901 (multiplicity 4)
Br: 0.333 0.110 0.806 (multiplicity 4)

Of them, two) has the lowest stability.

one) DFT (PBE) results for an optimized crystal structure of TlIBr.

Unit cell a=4.4367 b=4.4367 c=6.7961 alpha=90.00 beta=90.00 gamma=120.00
Space group P3m1 (No. 156)
Asymmetric unit:
Tl: 0.0000 0.0000 0.0000 (multiplicity 1)
I: 0.3333 0.6667 0.7103 (multiplicity 1)
Br: 0.6667 0.3333 0.2542 (multiplicity 1)

two) DFT (PBE) results for an optimized crystal structure of TlIBr.

Unit cell a=4.671 b=4.671 c=23.308 alpha=90.00 beta=90.00 gamma=90.00
Space group I4/mmm (No. 139)
Asymmetric unit:
Tl: 0.000 0.000 0.163 (multiplicity 4)
I: 0.000 0.000 0.440 (multiplicity 4)
Br: 0.000 0.000 0.305 (multiplicity 4)

Of them, one) has the lowest stability.

one) DFT (PBE) results for an optimized crystal structure of TlIBr.

Unit cell a=4.184 b=5.703 c=22.021 alpha=90.00 beta=90.00 gamma=90.00
Space group Immm (No. 71)
Asymmetric unit:
Tl: 0.000 0.000 0.179 (multiplicity 4)
I: 0.000 0.251 0.000 (multiplicity 4)
Br: 0.000 0.000 0.317 (multiplicity 4)

two) DFT (PBE) results for an optimized crystal structure of TlIBr.

Unit cell a=7.459 b=4.419 c=8.462 alpha=90.00 beta=109.53 gamma=90.00
Space group P2/m (No. 10)
Asymmetric unit:
Tl: 0.000 0.000 0.000 (multiplicity 1)
Tl: 0.000 0.500 0.500 (multiplicity 1)
I: 0.273 0.000 0.336 (multiplicity 2)
Br: 0.215 0.500 0.911 (multiplicity 2)

Of them, two) has the lowest stability.

one) DFT (PBE) results for an optimized crystal structure of Tl2I2Br.

Unit cell a=4.896 b=4.896 c=17.035 alpha=90.00 beta=90.00 gamma=90.00
Space group I4/mmm (No. 139)
Asymmetric unit:
Tl: 0.000 0.000 0.100 (multiplicity 4)
I: 0.000 0.500 0.250 (multiplicity 4)
Br: 0.000 0.000 0.500 (multiplicity 2)

two) DFT (PBE) results for an optimized crystal structure of Tl2I2Br.

Unit cell a=4.350 b=17.555 c=10.970 alpha=90.00 beta=90.00 gamma=90.00
Space group Cmc2_1 (No. 36)
Asymmetric unit:
Tl: 0.000 0.002 0.000 (multiplicity 4)
Tl: 0.000 0.192 0.744 (multiplicity 4)
I: 0.000 0.170 0.419 (multiplicity 4)
I: 0.000 0.349 0.509 (multiplicity 4)
Br: 0.000 0.451 0.195 (multiplicity 4)

Of them, one) has the lowest stability.

one) DFT (PBE) results for an optimized crystal structure of TlI2Br.

Unit cell a=8.304 b=8.304 c=8.304 alpha=90.00 beta=90.00 gamma=90.00
Space group Fm-3m (No. 225)
Asymmetric unit:
Tl: 0.000 0.000 0.000 (multiplicity 4)
I: 0.250 0.250 0.250 (multiplicity 8)
Br: 0.000 0.000 0.500 (multiplicity 4)

two) DFT (PBE) results for an optimized crystal structure of TlI2Br.

Unit cell a=6.481 b=6.958 c=16.881 alpha=90.02 beta=90.01 gamma=90.01
Space group P-1 (No. 2)
Asymmetric unit:
Tl: 0.000 0.250 0.148 (multiplicity 2)
Tl: 0.500 0.250 0.351 (multiplicity 2)
I: 0.238 0.984 0.417 (multiplicity 2)
I: 0.239 0.483 0.583 (multiplicity 2)
I: 0.261 0.983 0.083 (multiplicity 2)
I: 0.263 0.484 0.918 (multiplicity 2)
Br: 0.250 0.467 0.250 (multiplicity 2)
Br: 0.250 0.967 0.750 (multiplicity 2)

Of them, one) has the lowest stability.

one) DFT (PBE) results for an optimized crystal structure of Tl3IBr.

Unit cell a=6.503 b=6.503 c=6.503 alpha=90.00 beta=90.00 gamma=90.00
Space group Pm-3m (No. 221)
Asymmetric unit:
Tl: 0.000 0.000 0.500 (multiplicity 3)
I: 0.000 0.000 0.000 (multiplicity 1)
Br: 0.500 0.500 0.500 (multiplicity 1)

two) DFT (PBE) results for an optimized crystal structure of Tl3IBr.

Unit cell a=6.191 b=6.191 c=6.191 alpha=90.00 beta=90.00 gamma=90.00
Space group Pm-3m (No. 221)
Asymmetric unit:
Tl: 0.000 0.000 0.500 (multiplicity 3)
I: 0.500 0.500 0.500 (multiplicity 1)
Br: 0.000 0.000 0.000 (multiplicity 1)

Of them, one) has the lowest stability.

one) DFT (PBE) results for an optimized crystal structure of TlIBr4.

Unit cell a=8.129 b=21.303 c=7.277 alpha=90.00 beta=109.84 gamma=90.00
Space group C2/c (No. 15)
Asymmetric unit:
Tl: 0.000 0.074 0.250 (multiplicity 4)
I: 0.000 0.341 0.750 (multiplicity 4)
Br: 0.147 0.163 0.069 (multiplicity 8)
Br: 0.247 0.035 0.551 (multiplicity 8)

two) DFT (PBE) results for an optimized crystal structure of TlIBr4.

Unit cell a=6.080 b=10.500 c=9.268 alpha=90.00 beta=105.63 gamma=90.00
Space group P2_1/m (No. 11)
Asymmetric unit:
Tl: 0.169 0.250 0.207 (multiplicity 2)
I: 0.157 0.750 0.374 (multiplicity 2)
Br: 0.053 0.569 0.126 (multiplicity 4)
Br: 0.286 0.750 0.687 (multiplicity 2)
Br: 0.334 0.250 0.603 (multiplicity 2)

Of them, two) has the lowest stability.

one) DFT (PBE) results for an optimized crystal structure of TmIBr.

Unit cell a=3.623 b=3.623 c=15.150 alpha=90.00 beta=90.00 gamma=90.00
Space group I4mm (No. 107)
Asymmetric unit:
Tm: 0.000 0.000 0.000 (multiplicity 2)
I: 0.000 0.000 0.378 (multiplicity 2)
Br: 0.000 0.000 0.610 (multiplicity 2)

two) DFT (PBE) results for an optimized crystal structure of TmIBr.

Unit cell a=3.9563 b=3.9563 c=7.7664 alpha=90.00 beta=90.00 gamma=120.00
Space group P3m1 (No. 156)
Asymmetric unit:
Tm: 0.0000 0.0000 0.0000 (multiplicity 1)
I: 0.3333 0.6667 0.7464 (multiplicity 1)
Br: 0.6667 0.3333 0.2239 (multiplicity 1)

three) DFT (PBE) results for an optimized crystal structure of TmIBr.

Unit cell a=3.955 b=6.848 c=8.720 alpha=69.47 beta=77.80 gamma=89.99
Space group P-1 (No. 2)
Asymmetric unit:
Tm: 0.249 0.266 0.003 (multiplicity 2)
I: 0.371 0.701 0.739 (multiplicity 2)
Br: 0.155 0.828 0.204 (multiplicity 2)

four) DFT (PBE) results for an optimized crystal structure of TmIBr.

Unit cell a=5.922 b=10.914 c=6.313 alpha=90.00 beta=90.00 gamma=90.00
Space group Imma (No. 74)
Asymmetric unit:
Tm: 0.000 0.250 0.063 (multiplicity 4)
I: 0.000 0.250 0.540 (multiplicity 4)
Br: 0.000 0.000 0.000 (multiplicity 4)

Of them, four) has the lowest stability.

one) DFT (PBE) results for an optimized crystal structure of UIBr.

Unit cell a=30.158 b=3.683 c=3.682 alpha=90.00 beta=90.28 gamma=90.00
Space group C2/m (No. 12)
Asymmetric unit:
U: 0.135 0.000 0.244 (multiplicity 4)
I: 0.071 0.500 0.742 (multiplicity 4)
Br: 0.192 0.500 0.746 (multiplicity 4)

two) DFT (PBE) results for an optimized crystal structure of UIBr.

Unit cell a=5.2151 b=5.2151 c=3.7198 alpha=90.00 beta=90.00 gamma=120.00
Space group P-6m2 (No. 187)
Asymmetric unit:
U: 0.0000 0.0000 0.0000 (multiplicity 1)
I: 0.6667 0.3333 0.5000 (multiplicity 1)
Br: 0.3333 0.6667 0.0000 (multiplicity 1)

Of them, two) has the lowest stability.